Entry 1:
First-principles (PBE-GGA) data for PmAlS2O8 after structural relaxation, as listed in Alexandria.

Lattice parameters (Å, degrees): 5.300 5.300 6.514 90.00 90.00 120.00
Last column: magnetic moment on the atom in μB.
Element x y z (fractional)
Pm  0.000  0.000  0.500  0.07
Al  0.000  0.000  0.000  0.00
S  0.333  0.667  0.776  0.17
S  0.667  0.333  0.224  0.17
O  0.156  0.311  0.806  0.11
O  0.156  0.844  0.806  0.11
O  0.689  0.844  0.806  0.11
O  0.311  0.156  0.194  0.11
O  0.667  0.333  0.456  -0.01
O  0.333  0.667  0.544  -0.01
O  0.844  0.689  0.194  0.11
O  0.844  0.156  0.194  0.11

- Energy relative to the elements, uncorrected: -1.70 eV per atom
- DOS at the Fermi energy: 0.167 states/eV/atom

Entry 2:
First-principles (PBE-GGA) data for TlTcCl2 after structural relaxation, as listed in Alexandria.

Lattice parameters (Å, degrees): 9.595 9.595 9.595 20.90 20.90 20.90
Last column: magnetic moment on the atom in μB.
Element x y z (fractional)
Tl  0.750  0.750  0.750  0.02
Tc  0.250  0.250  0.250  0.84
Cl  0.967  0.967  0.967  0.00
Cl  0.533  0.533  0.533  0.00

- Energy relative to the elements, uncorrected: -0.05 eV per atom
- Polymorph energy (0 for the lowest one): 114 meV/atom
- DOS at the Fermi energy: 0.898 states/eV/atom

Entry 3:
First-principles (PBE-GGA) data for Rb2LiSn after structural relaxation, as listed in Alexandria.

Lattice parameters (Å, degrees): 12.917 12.917 9.506 47.20 47.20 90.00
Last column: magnetic moment on the atom in μB.
Element x y z (fractional)
Sn  0.000  0.000  0.000  0.30
Sn  0.750  0.250  0.500  0.30
Rb  0.455  0.125  0.250  0.01
Rb  0.295  0.625  0.250  0.01
Rb  0.375  0.545  0.750  0.01
Rb  0.875  0.705  0.750  0.01
Li  0.500  0.500  0.000  0.01
Li  0.250  0.750  0.500  0.01

- Energy of formation: 0.039 eV/atom
- DOS at the Fermi energy: 0.645 states/eV/atom

Entry 4:
First-principles (PBE-GGA) data for LaPr3Dy6 after structural relaxation, as listed in Alexandria.

Lattice parameters (Å, degrees): 10.000 10.000 6.977 44.22 44.22 60.00
Element x y z (fractional)
La  0.901  0.901  0.298
Pr  0.401  0.401  0.798
Pr  0.652  0.652  0.044
Pr  0.150  0.150  0.551
Dy  0.899  0.572  0.302
Dy  0.227  0.899  0.302
Dy  0.572  0.227  0.302
Dy  0.074  0.400  0.801
Dy  0.725  0.074  0.801
Dy  0.400  0.725  0.801

- Energy of formation: 0.292 eV/atom
- Polymorph energy (0 for the lowest one): 83 meV/atom
- DOS at the Fermi energy: 2.234 states/eV/atom

Entry 5:
First-principles (PBE-GGA) data for PmNdS after structural relaxation, as listed in Alexandria.

Lattice parameters (Å, degrees): 6.566 3.937 3.937 120.00 90.00 90.00
Last column: magnetic moment on the atom in μB.
Element x y z (fractional)
S  0.335  0.333  0.667  0.00
Nd  0.074  0.000  0.000  0.15
Pm  0.590  0.667  0.333  -0.16

- Energy relative to the elements, uncorrected: -1.25 eV per atom
- Polymorph energy (0 for the lowest one): 0 meV/atom
- DOS at the Fermi energy: 0.326 states/eV/atom

Entry 6:
First-principles (PBE-GGA) data for CeNd2IrN4 after structural relaxation, as listed in Alexandria.

Lattice parameters (Å, degrees): 3.439 6.218 12.094 90.00 90.00 106.06
Element x y z (fractional)
Ce  0.111  0.223  0.750
Ce  0.889  0.777  0.250
Nd  0.370  0.739  0.548
Nd  0.630  0.261  0.048
Nd  0.630  0.261  0.452
Nd  0.370  0.739  0.952
Ir  0.849  0.697  0.750
Ir  0.151  0.303  0.250
N  0.283  0.567  0.139
N  0.717  0.433  0.639
N  0.717  0.433  0.861
N  0.283  0.567  0.361
N  0.000  0.000  0.500
N  0.000  0.000  0.000
N  0.452  0.905  0.750
N  0.548  0.095  0.250

- Energy relative to the elements, uncorrected: -0.84 eV per atom
- DOS at the Fermi energy: 0.343 states/eV/atom